Tl12Hg7Sb PBE optimized geometry; E_form (uncorrected) = 0.0118 eV/atom; volume = 30.3 Å³ per atom; SG = R-3, No. 148; DOS(E_F) = 9.2 states/eV per cell; energy above the lowest structure with this stoichiometry = 0.0 meV per atom
1.0
-1.477 9.200 -0.045
3.540 -2.618 -8.080
-7.952 -4.415 1.394
Hg Tl Sb
7 12 1
direct
0.617 0.706 0.852
0.765 0.148 0.855
0.235 0.852 0.145
0.383 0.294 0.148
0.910 0.145 0.294
0.500 0.000 0.000
0.090 0.855 0.706
0.796 0.453 0.348
0.449 0.652 0.105
0.648 0.735 0.531
0.087 0.205 0.735
0.118 0.469 0.205
0.204 0.547 0.652
0.343 0.895 0.547
0.551 0.348 0.895
0.882 0.531 0.795
0.913 0.795 0.265
0.352 0.265 0.469
0.657 0.105 0.453
0.000 0.000 0.000